An optimized crystal structure of Zn2AgRh. Source: Alexandria via LeMat-Bulk, functional GGA-PBE.

abc: 4.3814 4.3814 3.0922
angles: 90.01 90.01 95.26
Closest atoms and distances in Å follow each position.
Sites, in units of the cell vectors:
Zn1 0.5000 0.5000 0.0000  4 Rh 2.68, 4 Ag 2.68, 2 Zn 2.95
Zn2 0.0000 0.0000 0.0000  4 Ag 2.68, 4 Rh 2.68, 2 Zn 2.95
Rh1 0.0000 0.5000 0.5000  8 Zn 2.68, 2 Ag 2.95
Ag1 0.5000 0.0000 0.5000  8 Zn 2.68, 2 Rh 2.95

Crystal system: orthorhombic

***

An optimized crystal structure of ZnAgRh2. Source: Alexandria via LeMat-Bulk, functional GGA-PBE.

abc: 3.7813 2.8034 6.3289
angles: 64.21 90.00 90.00
Closest atoms and distances in Å follow each position.
Sites, in units of the cell vectors:
Zn1 0.0000 0.5090 0.4900  5 Rh 2.64-2.76, 4 Ag 2.75-2.76, 2 Zn 2.80
Rh1 0.0000 0.9735 0.0264  1 Zn 2.64, 6 Rh 2.66-2.80, 4 Ag 2.86
Rh2 0.5000 0.2617 0.2422  6 Rh 2.66-2.80, 4 Zn 2.73-2.76, 2 Ag 2.84-2.85
Ag1 0.5000 0.7558 0.7413  4 Zn 2.75-2.76, 2 Ag 2.80, 6 Rh 2.84-2.86

Crystal system: monoclinic

***

An optimized crystal structure of ZnAgRh2. Source: Alexandria via LeMat-Bulk, functional GGA-PBE.

abc: 2.8395 4.6230 4.5936
angles: 90.00 90.00 90.00
Closest atoms and distances in Å follow each position.
Sites, in units of the cell vectors:
Rh1 0.5000 0.5000 0.0000  4 Ag 2.70, 6 Rh 2.71-2.84
Rh2 0.0000 0.0000 0.0000  4 Zn 2.70, 6 Rh 2.71-2.84
Zn1 0.5000 0.0000 0.5000  4 Rh 2.70, 4 Ag 2.71, 2 Zn 2.84
Ag1 0.0000 0.5000 0.5000  4 Rh 2.70, 4 Zn 2.71, 2 Ag 2.84

Crystal system: orthorhombic

***

An optimized crystal structure of ZnAg4Rh. Source: Alexandria via LeMat-Bulk, functional GGA-PBE.

abc: 5.3459 5.3459 5.3459
angles: 60.00 60.00 60.00
Closest atoms and distances in Å follow each position.
Sites, in units of the cell vectors:
Zn1 0.0000 0.0000 0.0000  12 Ag 3.13, 4 Rh 3.27
Ag1 0.6249 0.6249 0.6249  6 Ag 2.67
Ag2 0.6249 0.6249 0.1252  6 Ag 2.67
Ag3 0.6249 0.1252 0.6249  6 Ag 2.67
Ag4 0.1252 0.6249 0.6249  6 Ag 2.67
Rh1 0.2500 0.2500 0.2500  12 Ag 3.13, 4 Zn 3.27

Crystal system: cubic

***

An optimized crystal structure of Zn2AgRh. Source: Alexandria via LeMat-Bulk, functional GGA-PBE.

abc: 4.9074 4.9074 4.9074
angles: 134.05 134.05 67.01
Closest atoms and distances in Å follow each position.
Sites, in units of the cell vectors:
Ag1 0.5000 0.5000 0.0000  8 Zn 2.71-2.80, 4 Rh 2.80
Rh1 0.7500 0.2500 0.5000  8 Zn 2.71-2.80, 4 Ag 2.80
Zn1 0.0000 0.0000 0.0000  4 Ag 2.71, 4 Rh 2.80, 4 Zn 2.80
Zn2 0.2500 0.7500 0.5000  4 Rh 2.71, 4 Zn 2.80, 4 Ag 2.80

Crystal system: tetragonal

***

An optimized crystal structure of Zn4AgRh. Source: Alexandria via LeMat-Bulk, functional GGA-PBE.

abc: 4.9905 4.9905 4.9905
angles: 60.00 60.00 60.00
Closest atoms and distances in Å follow each position.
Sites, in units of the cell vectors:
Rh1 0.0000 0.0000 0.0000  12 Zn 2.93, 4 Ag 3.06
Ag1 0.7500 0.7500 0.7500  12 Zn 2.93, 4 Rh 3.06
Zn1 0.3746 0.3746 0.8761  6 Zn 2.49-2.50
Zn2 0.3746 0.8761 0.3746  6 Zn 2.49-2.50
Zn3 0.8761 0.3746 0.3746  6 Zn 2.49-2.50
Zn4 0.3746 0.3746 0.3746  6 Zn 2.49-2.50

Crystal system: cubic
Polymorph energy (0 for the lowest one): 0.080 eV per atom

***

An optimized crystal structure of ZnAgRh2. Source: Alexandria via LeMat-Bulk, functional GGA-PBE.

abc: 2.9787 2.9787 6.7713
angles: 90.00 90.00 90.00
Closest atoms and distances in Å follow each position.
Sites, in units of the cell vectors:
Rh1 0.0000 0.0000 0.4716  4 Zn 2.59, 4 Ag 2.83
Rh2 0.0000 0.0000 0.0284  4 Zn 2.59, 4 Ag 2.83
Ag1 0.5000 0.5000 0.7500  8 Rh 2.83, 4 Ag 2.98
Zn1 0.5000 0.5000 0.2500  8 Rh 2.59

Crystal system: tetragonal

***

An optimized crystal structure of Zn2AgRh. Source: Alexandria via LeMat-Bulk, functional GGA-PBE.

abc: 4.4092 4.4092 4.4108
angles: 60.01 60.01 60.00
Closest atoms and distances in Å follow each position.
Sites, in units of the cell vectors:
Zn1 0.0000 0.0000 0.0001  4 Zn 2.70, 4 Rh 2.70
Zn2 0.2502 0.2502 0.2493  4 Ag 2.70, 4 Zn 2.70
Ag1 0.5000 0.5000 0.5000  4 Zn 2.70, 4 Rh 2.70
Rh1 0.7498 0.7498 0.7505  4 Ag 2.70, 4 Zn 2.70

Crystal system: cubic

***

An optimized crystal structure of ZnAgRh3. Source: Alexandria via LeMat-Bulk, functional GGA-PBE.

abc: 4.5586 4.5586 4.5586
angles: 90.00 90.00 90.00
Closest atoms and distances in Å follow each position.
Sites, in units of the cell vectors:
Rh1 0.0000 0.0000 0.5000  2 Zn 2.28
Rh2 0.5000 0.0000 0.0000  2 Zn 2.28
Rh3 0.0000 0.5000 0.0000  2 Zn 2.28
Ag1 0.5000 0.5000 0.5000  12 Rh 3.22
Zn1 0.0000 0.0000 0.0000  6 Rh 2.28

Crystal system: cubic
Polymorph energy (0 for the lowest one): 0.000 eV per atom

***

An optimized crystal structure of Zn2AgRh2. Source: Alexandria via LeMat-Bulk, functional GGA-PBE.

abc: 7.0109 7.0109 3.0626
angles: 90.00 90.00 90.00
Closest atoms and distances in Å follow each position.
Sites, in units of the cell vectors:
Zn1 0.6367 0.1367 0.0000  6 Rh 2.54-2.58, 1 Zn 2.71, 2 Ag 2.72
Zn2 0.3633 0.8633 0.0000  6 Rh 2.54-2.58, 1 Zn 2.71, 2 Ag 2.72
Zn3 0.8633 0.6367 0.0000  6 Rh 2.54-2.58, 1 Zn 2.71, 2 Ag 2.72
Zn4 0.1367 0.3633 0.0000  6 Rh 2.54-2.58, 1 Zn 2.71, 2 Ag 2.72
Rh1 0.6591 0.8409 0.5000  6 Zn 2.54-2.58
Rh2 0.8409 0.3409 0.5000  6 Zn 2.54-2.58
Rh3 0.3409 0.1591 0.5000  6 Zn 2.54-2.58
Rh4 0.1591 0.6591 0.5000  6 Zn 2.54-2.58
Ag1 0.0000 0.0000 0.0000  4 Zn 2.72
Ag2 0.5000 0.5000 0.0000  4 Zn 2.72

Crystal system: tetragonal
Polymorph energy (0 for the lowest one): 0.000 eV per atom

***

An optimized crystal structure of Zn2AgRh. Source: Alexandria via LeMat-Bulk, functional GGA-PBE.

abc: 2.7795 2.7795 8.9505
angles: 90.00 90.00 116.90
Closest atoms and distances in Å follow each position.
Sites, in units of the cell vectors:
Rh1 0.5000 0.5000 0.7652  2 Zn 2.53, 4 Rh 2.78, 2 Ag 2.80
Zn1 0.0000 0.0000 0.9959  2 Rh 2.53, 6 Zn 2.64-2.78
Zn2 0.5000 0.5000 0.2416  8 Zn 2.64-2.91, 2 Ag 2.71
Ag1 0.0000 0.0000 0.4973  2 Zn 2.71, 6 Ag 2.78-2.91, 2 Rh 2.80

Crystal system: orthorhombic

***

An optimized crystal structure of Zn2AgRh. Source: Alexandria via LeMat-Bulk, functional GGA-PBE.

abc: 3.0414 3.0970 7.0554
angles: 64.12 90.00 90.00
Closest atoms and distances in Å follow each position.
Sites, in units of the cell vectors:
Rh1 0.5000 0.7500 0.7500  8 Zn 2.60-2.61
Ag1 0.5000 0.2500 0.2500  8 Zn 2.77-2.78, 4 Ag 3.04-3.10
Zn1 0.0000 0.0231 0.9773  4 Rh 2.60-2.61, 4 Ag 2.77-2.78, 1 Zn 2.89
Zn2 0.0000 0.4769 0.5227  4 Rh 2.60-2.61, 4 Ag 2.77-2.78, 1 Zn 2.89

Crystal system: monoclinic

***

Number 1: energy relative to the elements -240.1 meV/atom. Number 2: energy relative to the elements 3.7 meV/atom. Number 3: energy relative to the elements 54.3 meV/atom. Number 4: energy relative to the elements 369.6 meV/atom. Number 5: energy relative to the elements -134.5 meV/atom. Number 6: energy relative to the elements -89.5 meV/atom. Number 7: energy relative to the elements 28.5 meV/atom. Number 8: energy relative to the elements -51.1 meV/atom. Number 9: energy relative to the elements 1051.5 meV/atom. Number 10: energy relative to the elements -152.8 meV/atom. Number 11: energy relative to the elements 27.4 meV/atom. Number 12: energy relative to the elements -249.6 meV/atom.